Below is a relaxed TaB2Ru crystal, with properties calculated at the PBE level.

abc: 3.9495 3.9495 3.9495
angles: 60.00 60.00 60.00
Fractional coordinates of all 4 atoms:
Ta 0.0000 0.0000 0.0000
B 0.2500 0.2500 0.2500
B 0.7500 0.7500 0.7500
Ru 0.5000 0.5000 0.5000

The space group is Fm-3m (225). The value obtained for the calculated formation energy is 0.12 eV per atom. For the energy above the most stable polymorph in this dataset, the calculation gives 137 kJ/mol of formula units. The calculated density is 11.574 g/cm³.